LiMgMnTl2: relaxed, PBE-GGA.

a b c (Å): 5.1573 5.1573 5.1128
angles (deg): 90.00 90.00 90.00
Last column: nearest neighbours and their distance in Å.
Sites, in units of the cell vectors:
Li  0.0000  0.0000  0.0000  8 Tl 3.63, 4 Mg 3.65
Mg  0.5000  0.5000  0.0000  2 Mn 2.56
Mn  0.5000  0.5000  0.5000  2 Mg 2.56, 4 Tl 2.58
Tl  0.0000  0.5000  0.5000  2 Mn 2.58
Tl  0.5000  0.0000  0.5000  2 Mn 2.58

- DOS at the Fermi energy: 0.642 states/eV/atom
- Spin magnetization: 2.20 μB/cell
- Electronic total energy: -3.124 eV per atom